Entry 1:
SrInTc2 | Alexandria via LeMat-Bulk | GGA-PBE | optimized geometry; volume = 90.1 Å³/cell; ΔH_f (0 K) = 0.490 eV per atom; space-group type = Imm2
1.0
-1.888 2.488 4.795
1.888 -2.488 4.795
1.888 2.488 -4.795
Sr In Tc
1 1 2
Direct
0.000 0.000 0.000
0.719 0.219 0.500
0.275 0.775 0.500
0.426 0.426 0.000



Entry 2:
ScCuPb2 | Alexandria via LeMat-Bulk | GGA-PBE | optimized geometry; volume = 97.3 Å³/cell; ΔE to the lowest computed polymorph = 3.9 meV/atom; ΔH_f (0 K) = -0.068 eV per atom; space-group type = P4mm
1.0
3.369 0.000 0.000
0.000 3.369 0.000
0.000 0.000 8.567
Sc Cu Pb
1 1 2
Direct
0.000 0.000 0.000
0.500 0.500 0.169
0.000 0.000 0.390
0.500 0.500 0.738



Entry 3:
HfInFe2Ge | Alexandria via LeMat-Bulk | GGA-PBE | optimized geometry; volume = 119.4 Å³/cell; ΔH_f (0 K) = 1.355 eV per atom; space-group type = P4/mmm
1.0
4.639 0.000 0.000
0.000 4.639 0.000
0.000 0.000 5.547
Hf In Fe Ge
1 1 2 1
Direct
0.000 0.000 0.000
0.000 0.000 0.500
0.000 0.500 0.000
0.500 0.000 0.000
0.500 0.500 0.500



Entry 4:
CdGaCu6 | Alexandria via LeMat-Bulk | GGA-PBE | optimized geometry; volume = 107.1 Å³/cell; ΔE to the lowest computed polymorph = 0.0 meV/atom; ΔH_f (0 K) = -0.010 eV per atom; space-group type = P4/mmm
1.0
3.806 0.000 0.000
0.000 3.806 0.000
0.000 0.000 7.395
Cd Ga Cu
1 1 6
Direct
0.000 0.000 0.000
0.000 0.000 0.500
0.000 0.500 0.264
0.000 0.500 0.736
0.500 0.000 0.264
0.500 0.000 0.736
0.500 0.500 0.000
0.500 0.500 0.500



Entry 5:
Ca5PmZn6 | Alexandria via LeMat-Bulk | GGA-PBE | optimized geometry; volume = 297.6 Å³/cell; ΔH_f (0 K) = -0.260 eV per atom; space-group type = Cmmm
1.0
2.603 -7.773 0.000
2.603 7.773 0.000
0.000 0.000 7.354
Ca Pm Zn
5 1 6
Direct
0.000 0.000 0.000
0.332 0.668 0.500
0.334 0.666 0.000
0.666 0.334 0.000
0.668 0.332 0.500
0.000 0.000 0.500
0.165 0.835 0.254
0.165 0.835 0.746
0.500 0.500 0.259
0.500 0.500 0.741
0.835 0.165 0.254
0.835 0.165 0.746